Record 1
Material: Tm5GaSn2
Method: DFT, PBE-GGA
State: relaxed

Cell: 3.960 11.165 19.024 Å, 90.00 90.00 90.00°
Space group Cmcm (No. 63)
One atom of each set of equivalent atoms:
1 Tm 0.000 0.056 0.110
2 Tm 0.000 0.357 0.027
3 Tm 0.000 0.442 0.250
4 Ga 0.000 0.166 0.250
5 Sn 0.000 0.228 0.654

## Properties
- total energy (eV/atom) = -4.523
- ρ (g cm⁻³) = 9.10

Record 2
Material: Ac6SiTe12
Method: DFT, PBE-GGA
State: relaxed

Cell: 14.0351 14.0351 13.2929 Å, 90.00 90.00 120.00°
Space group R-3 (No. 148, hexagonal axes)
One atom of each set of equivalent atoms:
1 Ac 0.0519 0.4426 0.3115
2 Si 0.0000 0.0000 0.0000
3 Te 0.0411 0.2156 0.3989
4 Te 0.0637 0.1921 0.8864

## Properties
- raw formation energy (eV/atom) = -1.14
- total energy (eV/atom) = -4.706
- ρ (g cm⁻³) = 6.42

Record 3
Material: CeTm5In2
Method: DFT, PBE-GGA
State: relaxed

Cell: 5.197 11.524 15.663 Å, 90.00 90.00 90.00°
Space group Cmcm (No. 63)
One atom of each set of equivalent atoms:
1 Ce 0.000 0.238 0.250
2 Tm 0.000 0.039 0.750
3 Tm 0.000 0.139 0.037
4 Tm 0.000 0.453 0.103
5 In 0.000 0.273 0.635

## Properties
- total energy (eV/atom) = -4.314
- ρ (g cm⁻³) = 8.60